# Ta2NbBOs

An optimized crystal structure of Ta2NbBOs (PBE-GGA, the Alexandria database).

Summary:
Crystal system: tetragonal
Volume, Å³/atom: 15.8
D(E_F), states/eV per cell: 3.507
E, eV per formula unit: -52.1

Cell lengths 4.470, 4.470, 3.950 Å; angles 90.00, 90.00, 90.00 degrees
Space group P4/mmm (No. 123)
One atom of each set of equivalent atoms:
Ta 0.000 0.500 0.000 [2 per cell]
Nb 0.000 0.000 0.500 [1 per cell]
B 0.500 0.500 0.000 [1 per cell]
Os 0.500 0.500 0.500 [1 per cell]